Record 1
AgIrSe2 | PBE | optimized geometry

```
4
Lattice="5.2877 0.0112 0.0000 2.2838 4.7691 0.0000 -3.7857 -2.3901 2.8134" Properties=species:S:1:pos:R:3 pbc="T T T"
Ag 3.7857 2.3901 0.0000
Ir 2.6438 0.0056 1.4067
Se 0.0000 0.0000 0.0000
Se 1.1419 2.3845 1.4067
```

Final energy = -4.108 eV/atom
Crystal system = tetragonal

***

Record 2
AgIr2Se | PBE | optimized geometry

```
4
Lattice="2.8497 0.0000 0.0000 0.0000 3.7606 0.0000 0.0000 0.0000 6.3932" Properties=species:S:1:pos:R:3 pbc="T T T"
Ag 1.4249 1.8803 4.9700
Ir 0.0000 0.0000 0.2187
Ir 1.4249 1.8803 1.6175
Se 0.0000 0.0000 2.7836
```

Final energy = -5.594 eV/atom
Crystal system = orthorhombic

***

Record 3
Ta2Ag2IrSe6 | PBE | optimized geometry

```
11
Lattice="6.2044 -0.2533 0.7470 -3.2868 5.2684 0.7470 -0.2002 -0.3441 8.1041" Properties=species:S:1:pos:R:3 pbc="T T T"
Ta 0.1251 3.0531 4.7991
Ta 2.5923 1.6178 4.7991
Ag 4.9564 0.4727 0.7470
Ag -2.0388 4.5423 0.7470
Ir -0.1001 -0.1721 4.0521
Se 1.6726 2.8751 6.8369
Se 4.7331 0.9804 6.4184
Se 1.0447 1.7958 2.7612
Se -1.4871 4.5991 6.4184
Se -2.0157 3.6904 3.1798
Se 4.2044 0.0718 3.1798
```

Final energy = -5.767 eV/atom
Crystal system = monoclinic

***

Record 4
AgIr2WSe | PBE | optimized geometry

```
5
Lattice="-2.2959 3.4975 -2.2170 -3.9162 -3.1811 -0.9629 -2.0287 1.2599 4.0885" Properties=species:S:1:pos:R:3 pbc="T T T"
Ir -1.0143 0.6300 2.0442
Ir -1.1479 1.7487 -1.1085
Se -4.1204 0.7882 0.4543
Ag -1.9581 -1.5905 -0.4814
W 0.0000 0.0000 0.0000
```

Final energy = -5.701 eV/atom
Crystal system = tetragonal

***

Record 5
Si2AgIr | PBE | optimized geometry

```
4
Lattice="-0.9755 3.9792 -1.7021 -3.3737 0.4274 -2.8493 -3.7046 2.0985 1.2472" Properties=species:S:1:pos:R:3 pbc="T T T"
Ag -4.0269 3.2526 -1.6521
Ir -6.0404 4.8788 -2.4781
Si 0.0000 0.0000 0.0000
Si -2.0135 1.6263 -0.8260
```

Distance to the lowest polymorph of the same formula = 490.0 meV per atom
Crystal system = cubic

***

Record 6
SiAgIr2 | PBE | optimized geometry

```
4
Lattice="-0.9649 1.5171 -2.2943 -2.7467 -0.4027 0.8888 0.3467 5.8472 3.7206" Properties=species:S:1:pos:R:3 pbc="T T T"
Ag -1.5958 4.9426 2.0877
Ir 0.0170 0.2859 0.1819
Ir 0.1564 2.6377 1.6784
Si -1.7691 2.0190 0.2274
```

Final energy = -6.714 eV/atom
Crystal system = tetragonal

***

Record 7
Si2AgIr | PBE | optimized geometry

```
4
Lattice="0.0000 3.0912 3.0912 3.0912 0.0000 3.0912 3.0912 3.0912 0.0000" Properties=species:S:1:pos:R:3 pbc="T T T"
Si 1.5456 1.5456 1.5456
Si 4.6367 4.6367 4.6367
Ir 3.0912 3.0912 3.0912
Ag 0.0000 0.0000 0.0000
```

Distance to the lowest polymorph of the same formula = 189.3 meV per atom
Crystal system = cubic

***

Record 8
SiAgIr2 | PBE | optimized geometry

```
4
Lattice="-4.5408 -1.8541 7.4273 -5.5743 -3.8757 5.7557 -3.1501 -4.2891 7.1346" Properties=species:S:1:pos:R:3 pbc="T T T"
Ag -10.0124 -7.5621 15.3355
Ir -13.2136 -9.9799 20.2386
Ir -3.2209 -2.4327 4.9333
Si -6.7161 -5.0725 10.2867
```

Final energy = -6.415 eV/atom
Crystal system = trigonal

***

Record 9
Si2Ag2Ir | PBE | optimized geometry

```
10
Lattice="6.1931 0.0000 0.0000 0.0000 6.1931 0.0000 0.0000 0.0000 4.2498" Properties=species:S:1:pos:R:3 pbc="T T T"
Si 2.2609 5.3574 0.0000
Si 5.3574 3.9322 0.0000
Si 3.9322 0.8357 0.0000
Si 0.8357 2.2609 0.0000
Ir 0.0000 0.0000 0.0000
Ir 3.0965 3.0965 0.0000
Ag 1.1206 4.2172 2.1249
Ag 4.2172 5.0724 2.1249
Ag 5.0724 1.9759 2.1249
Ag 1.9759 1.1206 2.1249
```

Final energy = -5.085 eV/atom
Crystal system = tetragonal

***

Record 10
Si2AgIr | PBE | optimized geometry

```
4
Lattice="-0.7502 -0.4916 2.7548 -0.9224 -4.8953 -1.1247 3.9731 -0.9579 0.9111" Properties=species:S:1:pos:R:3 pbc="T T T"
Ag 1.6114 -0.7247 1.8329
Ir 1.5254 -2.9266 -0.1068
Si 0.0000 0.0000 0.0000
Si -0.8363 -2.6934 0.8151
```

Distance to the lowest polymorph of the same formula = 327.0 meV per atom
Crystal system = orthorhombic

***

Record 11
Si2AgIr | PBE | optimized geometry

```
4
Lattice="8.4139 0.0202 0.0119 7.9045 2.8832 0.0119 7.9045 1.4064 2.5170" Properties=species:S:1:pos:R:3 pbc="T T T"
Ag 6.0557 1.0775 0.6352
Ir 18.1671 3.2324 1.9056
Si 0.1538 0.0274 0.0161
Si 11.9576 2.1275 1.2543
```

Distance to the lowest polymorph of the same formula = 0.0 meV per atom
Crystal system = trigonal

***

Record 12
SiAgIr2 | PBE | optimized geometry

```
4
Lattice="5.2702 0.0141 -0.0005 4.4979 2.7467 -0.0005 2.0037 0.5663 4.1600" Properties=species:S:1:pos:R:3 pbc="T T T"
Ag 2.9430 0.8318 1.0398
Ir 2.3084 0.6524 3.9990
Ir 5.5812 1.5775 2.2406
Si 8.8289 2.4954 3.1193
```

Final energy = -6.582 eV/atom
Crystal system = monoclinic

***

no.,M_tot (μB/atom),V (Å³/cell)
1,0.000,71
2,0.000,69
3,0.000,261
4,0.000,115
5,0.000,62
6,0.000,59
7,0.000,59
8,0.199,60
9,0.000,163
10,0.000,62
11,0.000,60
12,0.000,60